Entry 1:
Co2Ag after structural relaxation. Source: the Open Quantum Materials Database, functional PBE.

For the total energy, the calculation gives -5.3680 eV per atom. As for the size of the total moment: 3.392 μB/f.u. The value obtained for the energy relative to the elements is 311 meV/atom. Its energy above the most stable polymorph in this dataset is 0 meV/atom.

Unit cell a=4.8252 b=4.8252 c=4.8252 alpha=60.00 beta=60.00 gamma=60.00
Last column: nearest neighbours and their distance in Å.
Fractional coordinates of all 6 atoms:
Co  0.0000  0.0000  0.0000  6 Co 2.41
Co  0.0000  0.0000  0.5000  6 Co 2.41
Co  0.0000  0.5000  0.0000  6 Co 2.41
Co  0.5000  0.0000  0.0000  6 Co 2.41
Ag  0.3750  0.3750  0.3750  12 Co 2.83, 4 Ag 2.95
Ag  0.6250  0.6250  0.6250  12 Co 2.83, 4 Ag 2.95


Entry 2:
Sc4CoSiC2 after structural relaxation. Source: the Open Quantum Materials Database, functional PBE.

For the total energy, the calculation gives -7.3855 eV per atom. As for the size of the total moment: 0.575 μB/f.u.

Unit cell a=3.2735 b=3.2735 c=13.4984 alpha=90.00 beta=90.00 gamma=120.00
Last column: nearest neighbours and their distance in Å.
Fractional coordinates of all 8 atoms:
Sc  0.0000  0.0000  0.1479  3 C 2.27
Sc  0.0000  0.0000  0.8521  3 C 2.27
Sc  0.3333  0.6667  0.3331  3 C 2.26
Sc  0.3333  0.6667  0.6669  3 C 2.26
Co  0.3333  0.6667  0.0000  6 Sc 2.75
Si  0.0000  0.0000  0.5000  6 Sc 2.94, 6 Si 3.27
C  0.6667  0.3333  0.2415  6 Sc 2.26-2.27
C  0.6667  0.3333  0.7585  6 Sc 2.26-2.27


Entry 3:
TmSnAu after structural relaxation. Source: the Open Quantum Materials Database, functional PBE.

For the total energy, the calculation gives -4.7528 eV per atom. As for the size of the total moment: 0.001 μB/f.u.

Unit cell a=4.7110 b=4.7110 c=4.7110 alpha=60.00 beta=60.00 gamma=60.00
Last column: nearest neighbours and their distance in Å.
Fractional coordinates of all 3 atoms:
Tm  0.0000  0.0000  0.0000  4 Au 2.88
Sn  0.5000  0.5000  0.5000  4 Au 2.88
Au  0.2500  0.2500  0.2500  4 Sn 2.88, 4 Tm 2.88


Entry 4:
MgCuBi after structural relaxation. Source: the Open Quantum Materials Database, functional PBE.

For the total energy, the calculation gives -3.0707 eV per atom.

Unit cell a=7.1128 b=7.1128 c=4.4644 alpha=90.00 beta=90.00 gamma=120.00
Last column: nearest neighbours and their distance in Å.
Fractional coordinates of all 9 atoms:
Mg  0.0000  0.5622  0.0000  5 Bi 3.07-3.11, 2 Cu 3.22
Mg  0.4378  0.4378  0.0000  5 Bi 3.07-3.11, 2 Cu 3.22
Mg  0.5622  0.0000  0.0000  5 Bi 3.07-3.11, 2 Cu 3.22
Cu  0.0000  0.2362  0.5000  4 Bi 2.78-2.79, 2 Cu 2.91
Cu  0.2362  0.0000  0.5000  4 Bi 2.78-2.79, 2 Cu 2.91
Cu  0.7638  0.7638  0.5000  4 Bi 2.78-2.79, 2 Cu 2.91
Bi  0.0000  0.0000  0.0000  6 Cu 2.79, 3 Mg 3.11
Bi  0.3333  0.6667  0.5000  3 Cu 2.78, 6 Mg 3.07
Bi  0.6667  0.3333  0.5000  3 Cu 2.78, 6 Mg 3.07